1.
First-principles (PBE) data for a relaxed CsTe2Se crystal, as listed in Alexandria via LeMat-Bulk.

Structure (extended XYZ):
```
4
Lattice="2.5599 0.0000 10.3714 -1.2800 2.2170 10.3714 -1.2800 -2.2170 10.3714" Properties=species:S:1:pos:R:3 pbc="T T T"
Te 0.0000 0.0000 27.4312
Te 0.0000 0.0000 3.6831
Se 0.0000 0.0000 15.5572
Cs 0.0000 0.0000 0.0000
```

2.
First-principles (PBE) data for a relaxed Cs3Te4Se crystal, as listed in Alexandria via LeMat-Bulk.

Structure (extended XYZ):
```
8
Lattice="5.2276 0.0000 0.0000 0.0000 5.4877 -0.4124 -2.6138 -1.3404 12.9190" Properties=species:S:1:pos:R:3 pbc="T T T"
Cs 2.6138 2.2601 8.4770
Cs 0.0000 1.8872 4.0296
Cs 0.0000 2.7439 -0.2062
Te 2.6138 4.3666 2.1694
Te 2.6138 4.8402 4.9861
Te 0.0000 -0.6929 7.5205
Te 0.0000 -0.2194 10.3373
Se 2.6138 0.0000 0.0000
```

3.
First-principles (PBE) data for a relaxed Cs4TeSe15 crystal, as listed in Alexandria via LeMat-Bulk.

Structure (extended XYZ):
```
80
Lattice="10.4909 0.0000 0.0000 0.0000 14.4726 0.0000 0.0000 0.0000 19.8466" Properties=species:S:1:pos:R:3 pbc="T T T"
Se 8.5182 14.3308 10.5111
Se 3.3530 13.3014 16.7975
Se 8.5182 7.3781 0.5878
Se 7.1379 6.0651 16.7975
Se 8.4445 1.7555 4.9616
Se 6.9968 4.6769 7.0721
Se 1.5872 3.6970 12.4059
Se 7.1379 6.0651 12.9724
Se 7.1379 1.1712 6.8742
Se 8.9037 10.7756 7.4407
Se 4.0387 7.9336 11.3930
Se 8.9037 10.9333 12.4059
Se 6.9968 2.5594 12.7745
Se 6.4522 0.6973 11.3930
Se 2.0464 12.7172 14.8849
Se 0.8246 5.9556 12.2661
Se 1.5872 3.5393 7.4407
Se 3.4941 11.9132 7.0721
Se 3.2507 1.2369 12.9138
Se 6.4522 0.6973 18.3769
Se 1.9728 0.1418 9.3355
Se 9.6663 13.1919 12.2661
Se 6.9968 2.5594 16.9954
Se 9.6663 13.1919 17.5038
Se 8.4445 5.4808 14.8849
Se 1.5872 3.6970 17.3640
Se 4.0387 13.7753 1.4697
Se 1.5872 3.5393 2.4826
Se 4.0387 13.7753 8.4536
Se 0.8246 5.9556 17.5038
Se 3.3530 8.4076 3.0491
Se 3.4941 9.7957 16.9954
Se 2.0464 8.9918 4.9616
Se 6.9968 4.6769 2.8512
Se 3.2507 1.2369 16.8561
Se 9.6663 8.5171 7.5805
Se 7.2403 13.2357 2.9905
Se 7.2403 13.2357 6.9328
Se 6.4522 6.5390 8.4536
Se 9.6663 8.5171 2.3428
Se 0.8246 1.2807 2.3428
Se 3.3530 13.3014 12.9724
Se 3.3530 8.4076 6.8742
Se 1.9728 7.0945 19.2588
Se 1.9728 7.0945 10.5111
Se 7.2403 8.4732 16.8561
Se 4.0387 7.9336 18.3769
Se 8.9037 10.7756 2.4826
Se 6.4522 6.5390 1.4697
Se 7.1379 1.1712 3.0491
Se 8.5182 7.3781 9.3355
Se 8.5182 14.3308 19.2588
Se 7.2403 8.4732 12.9138
Se 3.4941 11.9132 2.8512
Se 0.8246 1.2807 7.5805
Se 1.9728 0.1418 0.5878
Se 3.4941 9.7957 12.7745
Se 8.9037 10.9333 17.3640
Se 3.2507 5.9994 2.9905
Se 3.2507 5.9994 6.9328
Te 5.4213 9.1016 14.8849
Te 5.0697 1.8653 14.8849
Te 5.0697 5.3710 4.9616
Te 5.4213 12.6073 4.9616
Cs 3.6527 1.6845 4.9616
Cs 6.1931 10.8545 9.9233
Cs 10.2674 5.5326 4.9616
Cs 9.3855 3.6182 9.9233
Cs 4.2978 3.6182 0.0000
Cs 6.1931 10.8545 0.0000
Cs 3.6527 5.5518 14.8849
Cs 6.8382 8.9209 4.9616
Cs 6.8382 12.7881 14.8849
Cs 1.1054 10.8545 0.0000
Cs 9.3855 3.6182 0.0000
Cs 0.2236 8.9400 14.8849
Cs 4.2978 3.6182 9.9233
Cs 0.2236 12.7689 4.9616
Cs 1.1054 10.8545 9.9233
Cs 10.2674 1.7037 14.8849
```

no.,E (eV per atom),uncorrected formation energy (eV/f.u.)
1,-2.601,0.22
2,-3.003,-5.41
3,-3.403,-9.24